No. 1
# TcSnSCl2 (PBE, optimized geometry)
data_TcSnSCl2
_chemical_formula_sum 'Tc1 Sn1 S1 Cl2'
_space_group_name_H-M_alt 'P 1'
_space_group_IT_number 1
_space_group_name_Hall 'P 1'
_cell_length_a 5.247
_cell_length_b 5.247
_cell_length_c 5.193
_cell_angle_alpha 90.00
_cell_angle_beta 90.00
_cell_angle_gamma 90.00
loop_
_atom_site_label
_atom_site_fract_x
_atom_site_fract_y
_atom_site_fract_z
Tc1 0.000 0.000 0.000
Sn1 0.500 0.500 0.500
S1 0.500 0.500 0.000
Cl1 0.000 0.500 0.500
Cl2 0.500 0.000 0.500
# * raw formation energy: 526.8 meV/atom
# * ΔE to the lowest computed polymorph: 588 meV per atom
# * calculated total energy: -3.911 eV per atom
# * crystal system: tetragonal
# * spin magnetization: 4.8 μB/f.u.

No. 2
# MgBeP (PBE, optimized geometry)
data_MgBeP
_chemical_formula_sum 'Mg4 Be4 P4'
_space_group_name_H-M_alt 'P 1'
_space_group_IT_number 1
_space_group_name_Hall 'P 1'
_cell_length_a 5.783
_cell_length_b 5.783
_cell_length_c 5.783
_cell_angle_alpha 90.00
_cell_angle_beta 90.00
_cell_angle_gamma 90.00
loop_
_atom_site_label
_atom_site_fract_x
_atom_site_fract_y
_atom_site_fract_z
Mg1 0.000 0.000 0.000
Mg2 0.000 0.500 0.500
Mg3 0.500 0.000 0.500
Mg4 0.500 0.500 0.000
Be1 0.000 0.000 0.500
Be2 0.000 0.500 0.000
Be3 0.500 0.000 0.000
Be4 0.500 0.500 0.500
P1 0.250 0.250 0.250
P2 0.250 0.750 0.750
P3 0.750 0.250 0.750
P4 0.750 0.750 0.250
# * ΔE to the lowest computed polymorph: 477 meV per atom
# * ΔH_f (0 K): 0.1311 eV per atom
# * calculated total energy: -3.446 eV per atom
# * crystal system: cubic
# * spin magnetization: 0.0 μB/f.u.

No. 3
# TaCdCu2 (PBE, optimized geometry)
data_TaCdCu2
_chemical_formula_sum 'Ta1 Cd1 Cu2'
_space_group_name_H-M_alt 'P 1'
_space_group_IT_number 1
_space_group_name_Hall 'P 1'
_cell_length_a 2.868
_cell_length_b 2.868
_cell_length_c 7.656
_cell_angle_alpha 90.00
_cell_angle_beta 90.00
_cell_angle_gamma 90.00
loop_
_atom_site_label
_atom_site_fract_x
_atom_site_fract_y
_atom_site_fract_z
Ta1 0.000 0.000 0.000
Cd1 0.000 0.000 0.500
Cu1 0.500 0.500 0.242
Cu2 0.500 0.500 0.758
# * ΔH_f (0 K): 0.0903 eV per atom
# * calculated total energy: -5.150 eV per atom
# * crystal system: tetragonal
# * spin magnetization: 0.0 μB/f.u.

No. 4
# ReN2ClF (PBE, optimized geometry)
data_ReN2ClF
_chemical_formula_sum 'Re1 N2 Cl1 F1'
_space_group_name_H-M_alt 'P 1'
_space_group_IT_number 1
_space_group_name_Hall 'P 1'
_cell_length_a 4.000
_cell_length_b 4.000
_cell_length_c 3.856
_cell_angle_alpha 90.00
_cell_angle_beta 90.00
_cell_angle_gamma 90.00
loop_
_atom_site_label
_atom_site_fract_x
_atom_site_fract_y
_atom_site_fract_z
Re1 0.000 0.000 0.000
N1 0.000 0.500 0.500
N2 0.500 0.000 0.500
Cl1 0.500 0.500 0.500
F1 0.500 0.500 0.000
# * raw formation energy: 2348.8 meV/atom
# * ΔE to the lowest computed polymorph: 2094 meV per atom
# * calculated total energy: -4.215 eV per atom
# * crystal system: tetragonal
# * spin magnetization: 3.4 μB/f.u.

No. 5
# NdAlPt (PBE, optimized geometry)
data_NdAlPt
_chemical_formula_sum 'Nd6 Al6 Pt6'
_space_group_name_H-M_alt 'P 1'
_space_group_IT_number 1
_space_group_name_Hall 'P 1'
_cell_length_a 7.150
_cell_length_b 4.346
_cell_length_c 12.274
_cell_angle_alpha 90.00
_cell_angle_beta 91.45
_cell_angle_gamma 90.00
loop_
_atom_site_label
_atom_site_fract_x
_atom_site_fract_y
_atom_site_fract_z
Nd1 0.021 0.250 0.373
Nd2 0.150 0.250 0.081
Nd3 0.477 0.750 0.707
Nd4 0.523 0.250 0.293
Nd5 0.850 0.750 0.919
Nd6 0.979 0.750 0.627
Al1 0.150 0.250 0.801
Al2 0.353 0.750 0.457
Al3 0.494 0.750 0.083
Al4 0.506 0.250 0.917
Al5 0.647 0.250 0.543
Al6 0.850 0.750 0.199
Pt1 0.230 0.750 0.244
Pt2 0.279 0.250 0.569
Pt3 0.282 0.750 0.907
Pt4 0.718 0.250 0.093
Pt5 0.721 0.750 0.431
Pt6 0.770 0.250 0.756
# * ΔH_f (0 K): -1.0462 eV per atom
# * calculated total energy: -5.897 eV per atom
# * crystal system: monoclinic
# * spin magnetization: 0.0 μB/f.u.

No. 6
# Pr8Ga3I4Cl (PBE, optimized geometry)
data_Pr8Ga3I4Cl
_chemical_formula_sum 'Pr8 Ga3 I4 Cl1'
_space_group_name_H-M_alt 'P 1'
_space_group_IT_number 1
_space_group_name_Hall 'P 1'
_cell_length_a 9.233
_cell_length_b 9.233
_cell_length_c 9.233
_cell_angle_alpha 56.42
_cell_angle_beta 56.42
_cell_angle_gamma 56.42
loop_
_atom_site_label
_atom_site_fract_x
_atom_site_fract_y
_atom_site_fract_z
Pr1 0.228 0.738 0.738
Pr2 0.236 0.236 0.236
Pr3 0.262 0.262 0.772
Pr4 0.262 0.772 0.262
Pr5 0.738 0.228 0.738
Pr6 0.738 0.738 0.228
Pr7 0.764 0.764 0.764
Pr8 0.772 0.262 0.262
Ga1 0.000 0.000 0.500
Ga2 0.000 0.500 0.000
Ga3 0.500 0.000 0.000
I1 0.000 0.000 0.000
I2 0.000 0.500 0.500
I3 0.500 0.000 0.500
I4 0.500 0.500 0.000
Cl1 0.500 0.500 0.500
# * raw formation energy: -897.5 meV/atom
# * calculated total energy: -4.358 eV per atom
# * crystal system: trigonal
# * spin magnetization: 0.0 μB/f.u.